No. 1
# Rb2SrTl, relaxed, DFT GGA-PBE
# * ΔE to the lowest computed polymorph: 98 meV/atom
data_Rb2SrTl
_space_group_name_H-M_alt 'R -3 m'
_space_group_IT_number 166
_space_group_name_Hall '-R 3 2"'
_cell_length_a 4.2544
_cell_length_b 4.2544
_cell_length_c 45.8921
_cell_angle_alpha 90.00
_cell_angle_beta 90.00
_cell_angle_gamma 120.00
loop_
_atom_site_label
_atom_site_fract_x
_atom_site_fract_y
_atom_site_fract_z
_atom_site_occupancy
Rb1 0.0000 0.0000 0.0801 1
Sr1 0.0000 0.0000 0.5000 1
Tl1 0.0000 0.0000 0.0000 1

***

No. 2
# Rb2SrTl, relaxed, DFT GGA-PBE
# * ΔE to the lowest computed polymorph: 61 meV/atom
data_Rb2SrTl
_space_group_name_H-M_alt 'F m -3 m'
_space_group_IT_number 225
_space_group_name_Hall '-F 4 2 3'
_cell_length_a 9.548
_cell_length_b 9.548
_cell_length_c 9.548
_cell_angle_alpha 90.00
_cell_angle_beta 90.00
_cell_angle_gamma 90.00
loop_
_atom_site_label
_atom_site_fract_x
_atom_site_fract_y
_atom_site_fract_z
_atom_site_occupancy
Rb1 0.250 0.250 0.250 1
Sr1 0.000 0.000 0.000 1
Tl1 0.000 0.000 0.500 1

***

No. 3
First-principles (GGA-PBE) data for RbSr4Tl2 after structural relaxation, as listed in the Alexandria database.

```
data_RbSr4Tl2
_space_group_name_H-M_alt 'I 4/m m m'
_space_group_IT_number 139
_space_group_name_Hall '-I 4 2'
_cell_length_a 6.370
_cell_length_b 6.370
_cell_length_c 16.981
_cell_angle_alpha 90.00
_cell_angle_beta 90.00
_cell_angle_gamma 90.00
loop_
_atom_site_label
_atom_site_fract_x
_atom_site_fract_y
_atom_site_fract_z
_atom_site_occupancy
Rb1 0.000 0.000 0.000 1
Sr1 0.000 0.000 0.218 1
Sr2 0.000 0.500 0.000 1
Tl1 0.000 0.000 0.407 1
```

***

No. 4
# RbSr3Tl, relaxed, DFT GGA-PBE
# * ΔE to the lowest computed polymorph: 0 meV/atom
data_RbSr3Tl
_space_group_name_H-M_alt 'P m -3 m'
_space_group_IT_number 221
_space_group_name_Hall '-P 4 2 3'
_cell_length_a 6.604
_cell_length_b 6.604
_cell_length_c 6.604
_cell_angle_alpha 90.00
_cell_angle_beta 90.00
_cell_angle_gamma 90.00
loop_
_atom_site_label
_atom_site_fract_x
_atom_site_fract_y
_atom_site_fract_z
_atom_site_occupancy
Rb1 0.000 0.000 0.000 1
Sr1 0.000 0.500 0.500 1
Tl1 0.500 0.500 0.500 1

***

No. 5
First-principles (GGA-PBE) data for RbSrTl6 after structural relaxation, as listed in the Alexandria database.

```
data_RbSrTl6
_space_group_name_H-M_alt 'A m m 2'
_space_group_IT_number 38
_cell_length_a 5.520
_cell_length_b 7.884
_cell_length_c 12.318
_cell_angle_alpha 90.00
_cell_angle_beta 90.00
_cell_angle_gamma 90.00
loop_
_space_group_symop_operation_xyz
'x,y,z'
'-x,-y,z'
'-x,y,z'
'x,-y,z'
'x,y+1/2,z+1/2'
'-x,-y+1/2,z+1/2'
'-x,y+1/2,z+1/2'
'x,-y+1/2,z+1/2'
loop_
_atom_site_label
_atom_site_fract_x
_atom_site_fract_y
_atom_site_fract_z
_atom_site_occupancy
Rb1 0.000 0.000 0.000 1
Sr1 0.500 0.000 0.714 1
Tl1 0.000 0.000 0.533 1
Tl2 0.000 0.209 0.269 1
Tl3 0.500 0.000 0.194 1
Tl4 0.500 0.210 0.449 1
```

***

No. 6
First-principles (GGA-PBE) data for RbSr2Tl6 after structural relaxation, as listed in the Alexandria database.

```
data_RbSr2Tl6
_space_group_name_H-M_alt 'C 1 2/m 1'
_space_group_IT_number 12
_cell_length_a 16.873
_cell_length_b 9.405
_cell_length_c 4.097
_cell_angle_alpha 90.00
_cell_angle_beta 103.72
_cell_angle_gamma 90.00
loop_
_space_group_symop_operation_xyz
'x,y,z'
'-x,-y,-z'
'-x,y,-z'
'x,-y,z'
'x+1/2,y+1/2,z'
'-x+1/2,-y+1/2,-z'
'-x+1/2,y+1/2,-z'
'x+1/2,-y+1/2,z'
loop_
_atom_site_label
_atom_site_fract_x
_atom_site_fract_y
_atom_site_fract_z
_atom_site_occupancy
Rb1 0.000 0.000 0.000 1
Sr1 0.141 0.500 0.138 1
Tl1 0.000 0.327 0.500 1
Tl2 0.178 0.180 0.676 1
```

***

No. 7
# RbSrV3, relaxed, DFT GGA-PBE
# * ΔE to the lowest computed polymorph: 148 meV/atom
data_RbSrV3
_space_group_name_H-M_alt 'P m -3 m'
_space_group_IT_number 221
_space_group_name_Hall '-P 4 2 3'
_cell_length_a 5.053
_cell_length_b 5.053
_cell_length_c 5.053
_cell_angle_alpha 90.00
_cell_angle_beta 90.00
_cell_angle_gamma 90.00
loop_
_atom_site_label
_atom_site_fract_x
_atom_site_fract_y
_atom_site_fract_z
_atom_site_occupancy
Rb1 0.000 0.000 0.000 1
Sr1 0.500 0.500 0.500 1
V1 0.000 0.000 0.500 1

***

No. 8
# Rb2SrV2, relaxed, DFT GGA-PBE
# * ΔE to the lowest computed polymorph: 0 meV/atom
data_Rb2SrV2
_space_group_name_H-M_alt 'I 4/m m m'
_space_group_IT_number 139
_space_group_name_Hall '-I 4 2'
_cell_length_a 5.123
_cell_length_b 5.123
_cell_length_c 15.851
_cell_angle_alpha 90.00
_cell_angle_beta 90.00
_cell_angle_gamma 90.00
loop_
_atom_site_label
_atom_site_fract_x
_atom_site_fract_y
_atom_site_fract_z
_atom_site_occupancy
Rb1 0.000 0.500 0.250 1
Sr1 0.000 0.000 0.000 1
V1 0.000 0.000 0.443 1

***

No. 9
# RbSrV2, relaxed, DFT GGA-PBE
# * ΔE to the lowest computed polymorph: 131 meV/atom
data_RbSrV2
_space_group_name_H-M_alt 'I -4 2 d'
_space_group_IT_number 122
_space_group_name_Hall 'I -4 2bw'
_cell_length_a 9.381
_cell_length_b 9.381
_cell_length_c 6.555
_cell_angle_alpha 90.00
_cell_angle_beta 90.00
_cell_angle_gamma 90.00
loop_
_atom_site_label
_atom_site_fract_x
_atom_site_fract_y
_atom_site_fract_z
_atom_site_occupancy
Rb1 0.000 0.000 0.000 1
Sr1 0.000 0.000 0.500 1
V1 0.243 0.250 0.625 1

***

No. 10
# Rb2SrV2, relaxed, DFT GGA-PBE
# * ΔE to the lowest computed polymorph: 154 meV/atom
data_Rb2SrV2
_space_group_name_H-M_alt 'P 4/m b m'
_space_group_IT_number 127
_space_group_name_Hall '-P 4 2ab'
_cell_length_a 10.489
_cell_length_b 10.489
_cell_length_c 3.952
_cell_angle_alpha 90.00
_cell_angle_beta 90.00
_cell_angle_gamma 90.00
loop_
_atom_site_label
_atom_site_fract_x
_atom_site_fract_y
_atom_site_fract_z
_atom_site_occupancy
Rb1 0.210 0.290 0.000 1
Sr1 0.000 0.000 0.500 1
V1 0.061 0.561 0.500 1

***

No. 11
# RbSrV2, relaxed, DFT GGA-PBE
# * ΔE to the lowest computed polymorph: 0 meV/atom
data_RbSrV2
_space_group_name_H-M_alt 'F m -3 m'
_space_group_IT_number 225
_space_group_name_Hall '-F 4 2 3'
_cell_length_a 8.238
_cell_length_b 8.238
_cell_length_c 8.238
_cell_angle_alpha 90.00
_cell_angle_beta 90.00
_cell_angle_gamma 90.00
loop_
_atom_site_label
_atom_site_fract_x
_atom_site_fract_y
_atom_site_fract_z
_atom_site_occupancy
Rb1 0.000 0.000 0.000 1
Sr1 0.000 0.000 0.500 1
V1 0.250 0.250 0.250 1

***

No. 12
# Rb2SrV, relaxed, DFT GGA-PBE
# * ΔE to the lowest computed polymorph: 42 meV/atom
data_Rb2SrV
_space_group_name_H-M_alt 'F m -3 m'
_space_group_IT_number 225
_space_group_name_Hall '-F 4 2 3'
_cell_length_a 9.401
_cell_length_b 9.401
_cell_length_c 9.401
_cell_angle_alpha 90.00
_cell_angle_beta 90.00
_cell_angle_gamma 90.00
loop_
_atom_site_label
_atom_site_fract_x
_atom_site_fract_y
_atom_site_fract_z
_atom_site_occupancy
Rb1 0.250 0.250 0.250 1
Sr1 0.000 0.000 0.000 1
V1 0.000 0.000 0.500 1

***

For reference, total DFT energy (no corrections) by record: -1.275, -1.311, -1.472, -1.738, -2.241, -2.251, -3.648, -3.385, -3.647, -3.231, -3.778, -2.186 eV per atom.
For reference, formation energy from the elements by record: 221, 185, 304, -62, -135, -192, 2353, 986, 1575, 1140, 1444, 998 meV per atom.